## LiAl4Ni (PBE-GGA)

Data for a geometry-optimized LiAl4Ni structure.

Cell: 5.1720 5.1720 5.1720 Å, 60.00 60.00 60.00°
With the nearest neighbours (Å) after each atom.
Sites, in units of the cell vectors:
Li (0.0000, 0.0000, 0.0000)  12 Al 3.03, 4 Ni 3.17
Al (0.1253, 0.6249, 0.6249)  6 Al 2.58-2.59
Al (0.6249, 0.1253, 0.6249)  6 Al 2.58-2.59
Al (0.6249, 0.6249, 0.1253)  6 Al 2.58-2.59
Al (0.6249, 0.6249, 0.6249)  6 Al 2.58-2.59
Ni (0.2500, 0.2500, 0.2500)  12 Al 3.03, 4 Li 3.17

The value obtained for the magnetization is 0.0 μB per cell. The value obtained for the energy above the most stable polymorph in this dataset is 331.0 meV/atom. As for the space-group type: F-43m, No. 216. The energy of formation from the pure elements is 107 meV per atom.